1.
Entry from Alexandria via LeMat-Bulk: a relaxed RbAc2Sc crystal (PBE-GGA).

The formation energy is 0.27 eV/atom. The value obtained for the magnetic moment is 0.0 μB per formula unit. The value obtained for the density is 5.442 Mg/m³.

a b c (Å): 3.8748 3.8748 41.1424
angles (deg): 90.00 90.00 120.00
Closest atoms and distances in Å follow each position.
Space group R-3m (No. 166, hexagonal axes)
Symmetry-distinct sites (fractional):
Rb1 0.0000 0.0000 0.0000 (multiplicity 3)  6 Rb 3.87, 2 Ac 4.11
Ac1 0.0000 0.0000 0.0999 (multiplicity 6)  3 Sc 3.54, 6 Ac 3.87
Sc1 0.0000 0.0000 0.5000 (multiplicity 3)  6 Ac 3.54, 6 Sc 3.87

2.
Entry from Alexandria via LeMat-Bulk: a relaxed BaMnCr2 crystal (PBE-GGA).

The formation energy is 1.28 eV/atom. The value obtained for the magnetic moment is 0.0 μB per formula unit. The value obtained for the density is 5.549 Mg/m³.

a b c (Å): 4.8442 4.8442 15.1112
angles (deg): 90.00 90.00 90.00
Closest atoms and distances in Å follow each position.
Space group I4_1/amd (No. 141, origin choice 2)
Symmetry-distinct sites (fractional):
Ba1 0.0000 0.2500 0.3750 (multiplicity 4)  8 Cr 3.30, 4 Mn 3.43
Mn1 0.0000 0.2500 0.8750 (multiplicity 4)  4 Cr 2.24
Cr1 0.0000 0.0000 0.0000 (multiplicity 8)  2 Mn 2.24, 2 Cr 2.42

3.
Entry from Alexandria via LeMat-Bulk: a relaxed CaSc2Ru crystal (PBE-GGA).

The formation energy is -0.08 eV/atom. The value obtained for the magnetic moment is 0.0 μB per formula unit. The value obtained for the density is 4.174 Mg/m³.

a b c (Å): 3.4097 4.8800 11.0478
angles (deg): 90.00 90.00 90.00
Closest atoms and distances in Å follow each position.
Space group Imm2 (No. 44)
Symmetry-distinct sites (fractional):
Ca1 0.0000 0.0000 0.0000 (multiplicity 2)  2 Ru 2.94, 4 Sc 3.22
Sc1 0.0000 0.0000 0.3879 (multiplicity 2)  2 Ru 2.55
Sc2 0.0000 0.5000 0.2034 (multiplicity 2)  4 Ru 2.98, 2 Sc 3.18, 2 Ca 3.32
Ru1 0.0000 0.5000 0.7165 (multiplicity 2)  2 Sc 2.55

4.
Entry from Alexandria via LeMat-Bulk: a relaxed Re2Ru crystal (PBE-GGA).

The formation energy is -0.05 eV/atom. The value obtained for the magnetic moment is 0.0 μB per formula unit. The value obtained for the density is 17.964 Mg/m³.

a b c (Å): 2.7564 14.4110 4.4073
angles (deg): 90.00 90.00 90.00
Closest atoms and distances in Å follow each position.
Space group Cmcm (No. 63)
Symmetry-distinct sites (fractional):
Re1 0.0000 0.0543 0.2500 (multiplicity 4)  6 Re 2.70-2.80, 6 Ru 2.72-2.74
Re2 0.0000 0.2770 0.7500 (multiplicity 4)  8 Re 2.71-2.80, 4 Ru 2.74-2.77
Ru1 0.0000 0.3899 0.2500 (multiplicity 4)  10 Re 2.72-2.77, 2 Ru 2.76

Question: Look up the density of the second one.
Answer: 5.549 Mg/m³

Question: What is the magnetic moment in the third record?
Answer: 0.0 μB per formula unit

Question: Among the records above, which one has the highest density?
Answer: Re2Ru